Material: Ho5Te5N2
Method: DFT, PBE
State: optimized geometry

a b c (Å): 15.236 4.003 10.435
angles (deg): 90.00 91.28 90.00
Space group C2/m (No. 12)
Asymmetric unit:
Ho: 0.000 0.000 0.000
Ho: 0.095 0.000 0.308
Ho: 0.106 0.500 0.760
Te: 0.000 0.500 0.500
Te: 0.145 0.500 0.065
Te: 0.245 0.000 0.636
N: 0.034 0.000 0.788

Calculated values
**Formation energy (no corrections)**: -129.1 kJ/mol of atoms
**Crystal system**: monoclinic
**Fermi-level density of states**: 0.268 states/eV per atom

Material: TaIn2Au
Method: DFT, PBE
State: optimized geometry

a b c (Å): 4.134 4.134 9.515
angles (deg): 90.00 90.00 90.00
Space group I4/mmm (No. 139)
Asymmetric unit:
Ta: 0.000 0.000 0.000
In: 0.000 0.500 0.250
Au: 0.000 0.000 0.500

Calculated values
**Crystal system**: tetragonal
**Fermi-level density of states**: 1.125 states/eV per atom
**Relative energy among the computed polymorphs**: 216 meV/atom
**Energy relative to the elements**: 0.29 eV per atom

Material: Cd3In12S5
Method: DFT, PBE
State: optimized geometry

a b c (Å): 16.972 16.972 16.972
angles (deg): 90.00 90.00 90.00
Space group Ia-3d (No. 230)
Asymmetric unit:
Cd: 0.000 0.250 0.125
In: 0.016 0.069 0.655
S: 0.000 0.000 0.000
S: 0.000 0.250 0.375

Calculated values
**Formation energy (no corrections)**: -5.8 kJ/mol of atoms
**Crystal system**: cubic
**Fermi-level density of states**: 0.556 states/eV per atom

Material: CdCuAgPd
Method: DFT, PBE
State: optimized geometry

a b c (Å): 4.035 4.074 7.972
angles (deg): 90.00 90.00 90.00
Space group Imm2 (No. 44)
Asymmetric unit:
Cd: 0.000 0.000 0.000
Cu: 0.000 0.000 0.500
Ag: 0.000 0.500 0.249
Pd: 0.000 0.500 0.751

Calculated values
**Crystal system**: orthorhombic
**Fermi-level density of states**: 0.260 states/eV per atom
**Relative energy among the computed polymorphs**: 0 meV/atom
**Energy relative to the elements**: -0.12 eV per atom

Material: SmMg3Cd2
Method: DFT, PBE
State: optimized geometry

a b c (Å): 17.030 4.814 7.596
angles (deg): 90.00 110.57 90.00
Space group C2/m (No. 12)
Asymmetric unit:
Sm: 0.116 0.000 0.185
Mg: 0.072 0.000 0.702
Mg: 0.124 0.500 0.507
Mg: 0.198 0.500 0.931
Cd: 0.020 0.500 0.834
Cd: 0.237 0.000 0.656

Calculated values
**Crystal system**: monoclinic
**Fermi-level density of states**: 0.573 states/eV per atom
**Energy relative to the elements**: -0.17 eV per atom

Material: BeCoNiB
Method: DFT, PBE
State: optimized geometry

a b c (Å): 5.071 5.071 5.071
angles (deg): 90.00 90.00 90.00
Space group F-43m (No. 216)
Asymmetric unit:
Be: 0.000 0.000 0.000
Co: 0.250 0.250 0.250
Ni: 0.250 0.250 0.750
B: 0.000 0.000 0.500

Calculated values
**Crystal system**: cubic
**Fermi-level density of states**: 0.435 states/eV per atom
**Energy relative to the elements**: -0.30 eV per atom

Material: Sm4Er5Th
Method: DFT, PBE
State: optimized geometry

a b c (Å): 11.692 5.453 10.396
angles (deg): 90.00 90.64 90.00
Space group C2/m (No. 12)
Asymmetric unit:
Sm: 0.050 0.000 0.252
Sm: 0.171 0.500 0.749
Er: 0.000 0.500 0.500
Er: 0.193 0.000 0.938
Er: 0.197 0.000 0.568
Th: 0.000 0.500 0.000

Calculated values
**Crystal system**: monoclinic
**Fermi-level density of states**: 1.550 states/eV per atom
**Relative energy among the computed polymorphs**: 0 meV/atom
**Energy relative to the elements**: 0.19 eV per atom

Material: Sm2Er3Tm
Method: DFT, PBE
State: optimized geometry

a b c (Å): 17.661 3.482 14.086
angles (deg): 90.00 117.30 90.00
Space group C2/m (No. 12)
Asymmetric unit:
Sm: 0.157 0.000 0.470
Sm: 0.180 0.500 0.881
Er: 0.039 0.500 0.211
Er: 0.098 0.000 0.025
Er: 0.238 0.000 0.292
Tm: 0.063 0.000 0.643

Calculated values
**Crystal system**: monoclinic
**Fermi-level density of states**: 1.580 states/eV per atom
**Relative energy among the computed polymorphs**: 34 meV/atom
**Energy relative to the elements**: 0.12 eV per atom

Material: SmMg8Zn2
Method: DFT, PBE
State: optimized geometry

a b c (Å): 8.548 12.281 5.166
angles (deg): 90.00 105.95 90.00
Space group C2/m (No. 12)
Asymmetric unit:
Sm: 0.000 0.000 0.000
Mg: 0.000 0.263 0.000
Mg: 0.108 0.500 0.810
Mg: 0.203 0.125 0.590
Zn: 0.000 0.311 0.500

Calculated values
**Crystal system**: monoclinic
**Fermi-level density of states**: 0.655 states/eV per atom
**Energy relative to the elements**: 0.04 eV per atom

Material: Pd2SN
Method: DFT, PBE
State: optimized geometry

a b c (Å): 4.740 4.740 11.507
angles (deg): 90.00 90.00 90.00
Space group I-42d (No. 122)
Asymmetric unit:
Pd: 0.166 0.250 0.125
S: 0.000 0.000 0.500
N: 0.000 0.000 0.000

Calculated values
**Formation energy (no corrections)**: 43.0 kJ/mol of atoms
**Crystal system**: tetragonal
**Fermi-level density of states**: 0.864 states/eV per atom
**Relative energy among the computed polymorphs**: 0 meV/atom

Material: PrAlHPt2
Method: DFT, PBE
State: optimized geometry

a b c (Å): 3.955 11.141 7.402
angles (deg): 90.00 90.00 90.00
Space group Cmcm (No. 63)
Asymmetric unit:
Pr: 0.000 0.058 0.250
Al: 0.000 0.224 0.750
H: 0.000 0.500 0.000
Pt: 0.000 0.342 0.056

Calculated values
**Crystal system**: orthorhombic
**Fermi-level density of states**: 0.299 states/eV per atom
**E**: -28.69 eV/f.u.

Material: RbZnPt2
Method: DFT, PBE
State: optimized geometry

a b c (Å): 6.840 6.840 6.840
angles (deg): 90.00 90.00 90.00
Space group Fm-3m (No. 225)
Asymmetric unit:
Rb: 0.000 0.000 0.000
Zn: 0.000 0.000 0.500
Pt: 0.250 0.250 0.250

Calculated values
**Crystal system**: cubic
**Fermi-level density of states**: 0.526 states/eV per atom
**Relative energy among the computed polymorphs**: 585 meV/atom
**Energy relative to the elements**: 0.55 eV per atom

| no. | ρ (g/cm³) |
| --- | --- |
| 1 | 7.78 |
| 2 | 12.41 |
| 3 | 5.10 |
| 4 | 9.89 |
| 5 | 5.11 |
| 6 | 7.00 |
| 7 | 8.37 |
| 8 | 8.38 |
| 9 | 3.03 |
| 10 | 6.65 |
| 11 | 11.38 |
| 12 | 11.23 |